Entry 1:
Density functional theory data (GGA-PBE) for a relaxed structure of CaScAg2Se.

Output
Formation energy from raw total energies in eV per formula unit: 0.7
Space-group type: P4/mmm

Geometry as POSCAR:
```
CaScAg2Se
1.0
5.119 0.000 0.000
0.000 5.278 0.000
0.000 0.000 5.119
Ag Ca Sc Se
2 1 1 1
direct
0.000 0.000 0.500
0.500 0.000 0.000
0.000 0.500 0.000
0.500 0.500 0.500
0.000 0.000 0.000
```

Entry 2:
Density functional theory data (GGA-PBE) for a relaxed structure of Ca2ScAgSe4.

Output
Formation energy from raw total energies in eV per formula unit: -11.9
Space-group type: P2/m

Geometry as POSCAR:
```
Ca2ScAgSe4
1.0
4.094 0.000 0.000
0.000 7.192 0.137
0.000 -2.499 6.524
Ag Se Ca Sc
1 4 2 1
direct
0.500 0.500 0.000
0.500 0.232 0.235
0.000 0.242 0.769
0.000 0.758 0.231
0.500 0.768 0.765
0.500 0.000 0.500
0.000 0.500 0.500
0.000 0.000 0.000
```

Entry 3:
Density functional theory data (GGA-PBE) for a relaxed structure of CaScSiAg.

Output
Formation energy from raw total energies in eV per formula unit: -1.5
Space-group type: F-43m

Geometry as POSCAR:
```
CaScSiAg
1.0
-4.047 0.181 -2.792
-3.735 -3.079 0.879
-4.211 1.714 1.880
Ca Ag Si Sc
1 1 1 1
direct
0.000 0.000 0.000
0.250 0.250 0.250
0.750 0.750 0.750
0.500 0.500 0.500
```

Entry 4:
Density functional theory data (GGA-PBE) for a relaxed structure of CaScAgSn.

Output
Space-group type: F-43m
Formation energy from the elements in eV per atom: -0.4656

Geometry as POSCAR:
```
CaScAgSn
1.0
-2.416 -3.076 3.307
2.145 -4.432 1.412
1.808 -0.569 4.758
Ca Sn Ag Sc
1 1 1 1
direct
0.500 0.500 0.500
0.250 0.250 0.250
0.750 0.750 0.750
0.000 0.000 0.000
```